Entry 1:
Below is a geometry-optimized Nb2HO structure, with properties calculated at the PBE level.

Summary:
ρ	7.83	g cm⁻³
energy relative to the lowest polymorph listed for this composition	0.000	eV/atom
volume	10.75	Å³/atom
symmetry	No. 160
D(E_F)	2.74	states/eV per cell

abc: 2.9281 2.9281 6.0328
angles: 75.96 75.96 60.00
Last column: nearest neighbours and their distance in Å.
Element x y z (fractional)
H 0.6709 0.6709 0.9874  6 Nb 2.10-2.20
Nb 0.2563 0.2563 0.2311  3 H 2.20, 3 O 2.34
Nb 0.0763 0.0763 0.7711  3 H 2.10, 3 O 2.27
O 0.4965 0.4965 0.5104  6 Nb 2.27-2.34

Entry 2:
Below is a geometry-optimized LaDy3Sc2 structure, with properties calculated at the PBE level.

Summary:
ρ	6.21	g cm⁻³
energy relative to the lowest polymorph listed for this composition	0.137	eV/atom
volume	31.91	Å³/atom
symmetry	No. 63
ΔE_f	0.29	eV/atom
D(E_F)	21.35	states/eV per cell

abc: 5.4865 8.6501 8.6501
angles: 111.11 90.00 90.00
Last column: nearest neighbours and their distance in Å.
Element x y z (fractional)
Dy 0.4930 0.1086 0.6371  2 Sc 3.09-3.31, 1 Dy 3.38
Dy 0.4930 0.6371 0.1086  2 Sc 3.09-3.31, 1 Dy 3.38
Dy 0.9930 0.0927 0.0927  3 La 3.20-3.47, 4 Dy 3.29-3.38, 2 Sc 3.45
Dy 0.9930 0.8914 0.3629  2 Sc 3.09-3.31, 1 Dy 3.38
Dy 0.9930 0.3629 0.8914  2 Sc 3.09-3.31, 1 Dy 3.38
Dy 0.4930 0.9073 0.9073  3 La 3.20-3.47, 4 Dy 3.29-3.38, 2 Sc 3.45
Sc 0.9930 0.5163 0.3018  3 Sc 3.06-3.27, 2 Dy 3.09-3.31
Sc 0.4930 0.6982 0.4837  3 Sc 3.06-3.27, 2 Dy 3.09-3.31
Sc 0.4930 0.4837 0.6982  3 Sc 3.06-3.27, 2 Dy 3.09-3.31
Sc 0.9930 0.3018 0.5163  3 Sc 3.06-3.27, 2 Dy 3.09-3.31
La 0.4930 0.2617 0.2617  3 Dy 3.20-3.47, 6 Sc 3.46-3.57
La 0.9930 0.7383 0.7383  3 Dy 3.20-3.47, 6 Sc 3.46-3.57

Entry 3:
Below is a geometry-optimized Cs2Sn2S3 structure, with properties calculated at the PBE level.

Summary:
ρ	3.95	g cm⁻³
formation energy from raw total energies	-0.78	eV per atom
volume	36.02	Å³/atom
symmetry	No. 12

abc: 4.0483 7.4349 8.6188
angles: 89.62 103.58 90.00
Last column: nearest neighbours and their distance in Å.
Element x y z (fractional)
S 0.0000 0.0000 0.0000  2 Sn 2.58
S 0.3216 0.7614 0.6432  2 Sn 2.62
S 0.6784 0.2386 0.3568  2 Sn 2.62
Cs 0.3538 0.2243 0.7077  5 S 3.49-3.58
Cs 0.6462 0.7757 0.2923  5 S 3.49-3.58
Sn 0.0815 0.2929 0.1631  3 S 2.58-2.62
Sn 0.9185 0.7071 0.8369  3 S 2.58-2.62

Entry 4:
Below is a geometry-optimized CrPtW2 structure, with properties calculated at the PBE level.

Summary:
ρ	16.98	g cm⁻³
energy relative to the lowest polymorph listed for this composition	0.049	eV/atom
volume	15.03	Å³/atom
symmetry	No. 6
ΔE_f	0.05	eV/atom
D(E_F)	3.33	states/eV per cell

abc: 4.3979 2.6987 5.1334
angles: 80.69 90.00 90.00
Last column: nearest neighbours and their distance in Å.
Element x y z (fractional)
Cr 0.0000 0.5912 0.4779  4 W 2.56-2.84, 2 Pt 2.61, 2 Cr 2.70
Pt 0.5000 0.5996 0.7509  2 Cr 2.61, 7 W 2.69-2.86, 2 Pt 2.70
W 0.0000 0.0240 0.9957  2 Cr 2.56-2.84, 4 W 2.70-2.78, 4 Pt 2.86
W 0.5000 0.2852 0.2755  2 Cr 2.62, 3 Pt 2.69-2.81, 4 W 2.70-2.78

Entry 5:
Below is a geometry-optimized PuNpCdO6 structure, with properties calculated at the PBE level.

Summary:
ρ	8.72	g cm⁻³
formation energy from raw total energies	-2.43	eV per atom
volume	14.58	Å³/atom
symmetry	No. 163
D(E_F)	17.14	states/eV per cell

abc: 5.5758 5.5758 9.7502
angles: 90.00 90.00 120.00
Last column: nearest neighbours and their distance in Å.
Element x y z (fractional)
O 0.6890 0.0336 0.3714  1 Np 2.10, 1 Pu 2.22, 1 Cd 2.34
O 0.0336 0.6890 0.8714  1 Np 2.10, 1 Pu 2.22, 1 Cd 2.34
O 0.9664 0.6554 0.3714  1 Np 2.10, 1 Pu 2.22, 1 Cd 2.34
O 0.3110 0.3446 0.8714  1 Np 2.10, 1 Pu 2.22, 1 Cd 2.34
O 0.6554 0.6890 0.6286  1 Np 2.10, 1 Pu 2.22, 1 Cd 2.34
O 0.0336 0.3446 0.6286  1 Np 2.10, 1 Pu 2.22, 1 Cd 2.34
O 0.3446 0.3110 0.3714  1 Np 2.10, 1 Pu 2.22, 1 Cd 2.34
O 0.3446 0.0336 0.1286  1 Np 2.10, 1 Pu 2.22, 1 Cd 2.34
O 0.6554 0.9664 0.8714  1 Np 2.10, 1 Pu 2.22, 1 Cd 2.34
O 0.6890 0.6554 0.1286  1 Np 2.10, 1 Pu 2.22, 1 Cd 2.34
O 0.9664 0.3110 0.1286  1 Np 2.10, 1 Pu 2.22, 1 Cd 2.34
O 0.3110 0.9664 0.6286  1 Np 2.10, 1 Pu 2.22, 1 Cd 2.34
Pu 0.0000 0.0000 0.0000  6 O 2.22
Pu 0.0000 0.0000 0.5000  6 O 2.22
Cd 0.6667 0.3333 0.7500  6 O 2.34
Cd 0.3333 0.6667 0.2500  6 O 2.34
Np 0.3333 0.6667 0.7500  6 O 2.10
Np 0.6667 0.3333 0.2500  6 O 2.10

Entry 6:
Below is a geometry-optimized HgP2IrCl structure, with properties calculated at the PBE level.

Summary:
ρ	7.39	g cm⁻³
energy relative to the lowest polymorph listed for this composition	0.000	eV/atom
formation energy from raw total energies	0.39	eV per atom
volume	22.03	Å³/atom
symmetry	No. 123
D(E_F)	3.92	states/eV per cell

abc: 4.5817 5.2475 4.5817
angles: 90.00 90.00 90.00
Last column: nearest neighbours and their distance in Å.
Element x y z (fractional)
Hg 0.5000 0.5000 0.5000  4 Cl 3.24, 8 P 3.48
Ir 0.0000 0.0000 0.0000  4 P 2.29
Cl 0.0000 0.5000 0.0000  2 Ir 2.62
P 0.5000 0.0000 0.0000  2 Ir 2.29
P 0.0000 0.0000 0.5000  2 Ir 2.29

Entry 7:
Below is a geometry-optimized SbOs2W structure, with properties calculated at the PBE level.

Summary:
ρ	17.28	g cm⁻³
formation energy from raw total energies	0.37	eV per atom
volume	16.48	Å³/atom
symmetry	No. 123
D(E_F)	1.76	states/eV per cell

abc: 3.0067 3.0067 7.2926
angles: 90.00 90.00 90.00
Last column: nearest neighbours and their distance in Å.
Element x y z (fractional)
Sb 0.5000 0.5000 0.2500  8 Os 2.88, 4 Sb 3.01
Os 0.0000 0.0000 0.5154  4 W 2.73, 4 Sb 2.88, 4 Os 3.01
Os 0.0000 0.0000 0.9846  4 W 2.73, 4 Sb 2.88, 4 Os 3.01
W 0.5000 0.5000 0.7500  8 Os 2.73, 4 W 3.01

Entry 8:
Below is a geometry-optimized CsHfI2O structure, with properties calculated at the PBE level.

Summary:
ρ	5.02	g cm⁻³
energy relative to the lowest polymorph listed for this composition	2.181	eV/atom
formation energy from raw total energies	0.70	eV per atom
volume	38.45	Å³/atom
symmetry	No. 123
D(E_F)	5.92	states/eV per cell

abc: 6.7124 6.7124 4.2667
angles: 90.00 90.00 90.00
Last column: nearest neighbours and their distance in Å.
Element x y z (fractional)
Cs 0.0000 0.0000 0.0000  2 O 2.13
I 0.5000 0.0000 0.0000  2 Cs 3.36
I 0.0000 0.5000 0.0000  2 Cs 3.36
O 0.0000 0.0000 0.5000  2 Cs 2.13
Hf 0.5000 0.5000 0.5000  8 I 3.98, 2 Hf 4.27